No. 1
VASP calculation (GGA-PBEsol) on crystalline BiIrS3 at its relaxed geometry.

Calculated values
E_form (uncorrected): 0.185 eV per atom

a = 4.6281 Å, b = 4.6281 Å, c = 4.6281 Å
α = 90.00°, β = 90.00°, γ = 90.00°
Last column: nearest neighbours and their distance in Å.
Atoms (fractional coordinates):
Bi  0.0000  0.0000  0.0000  12 S 3.27
Ir  0.5000  0.5000  0.5000  6 S 2.31
S  0.0000  0.5000  0.5000  2 Ir 2.31
S  0.5000  0.0000  0.5000  2 Ir 2.31
S  0.5000  0.5000  0.0000  2 Ir 2.31



No. 2
VASP calculation (GGA-PBEsol) on crystalline BiSbTe2Ir at its relaxed geometry.

Calculated values
E_form (uncorrected): 1.900 eV per atom

a = 5.6392 Å, b = 5.6392 Å, c = 5.7092 Å
α = 90.00°, β = 90.00°, γ = 90.00°
Last column: nearest neighbours and their distance in Å.
Atoms (fractional coordinates):
Bi  0.0000  0.0000  0.0000  4 Te 2.82, 2 Sb 2.85
Sb  0.0000  0.0000  0.5000  2 Bi 2.85
Te  0.0000  0.5000  0.0000  2 Bi 2.82
Te  0.5000  0.0000  0.0000  2 Bi 2.82
Ir  0.5000  0.5000  0.5000  4 Sb 3.99, 8 Te 4.01



No. 3
VASP calculation (GGA-PBEsol) on crystalline ScBiIr2 at its relaxed geometry.

Calculated values
Formation energy from the elements: 0.20 eV per atom

a = 9.4581 Å, b = 9.4581 Å, c = 9.4581 Å
α = 154.50°, β = 154.50°, γ = 36.38°
Last column: nearest neighbours and their distance in Å.
Atoms (fractional coordinates):
Sc  0.0000  0.0000  0.0000  4 Ir 2.63
Sc  0.7500  0.2500  0.5000  4 Ir 2.63
Bi  0.2500  0.7500  0.5000  4 Ir 2.75, 4 Sc 2.95
Bi  0.5000  0.5000  0.0000  4 Ir 2.75, 4 Sc 2.95
Ir  0.0862  0.6250  0.9612  2 Sc 2.63, 2 Ir 2.73, 2 Bi 2.75
Ir  0.3750  0.3362  0.4612  2 Sc 2.63, 2 Ir 2.73, 2 Bi 2.75
Ir  0.6638  0.1250  0.0388  2 Sc 2.63, 2 Ir 2.73, 2 Bi 2.75
Ir  0.8750  0.9138  0.5388  2 Sc 2.63, 2 Ir 2.73, 2 Bi 2.75



No. 4
VASP calculation (GGA-PBEsol) on crystalline ScBi2Ir at its relaxed geometry.

Calculated values
Formation energy from the elements: 0.10 eV per atom

a = 10.1209 Å, b = 10.1209 Å, c = 10.1209 Å
α = 154.59°, β = 154.59°, γ = 36.24°
Last column: nearest neighbours and their distance in Å.
Atoms (fractional coordinates):
Sc  0.0000  0.0000  0.0000  4 Bi 2.90, 4 Ir 3.15
Sc  0.7500  0.2500  0.5000  4 Bi 2.90, 4 Ir 3.15
Bi  0.1386  0.6250  0.0136  2 Ir 2.85, 2 Sc 2.90, 2 Bi 3.06
Bi  0.3750  0.3886  0.5136  2 Ir 2.85, 2 Sc 2.90, 2 Bi 3.06
Bi  0.6114  0.1250  0.9864  2 Ir 2.85, 2 Sc 2.90, 2 Bi 3.06
Bi  0.8750  0.8614  0.4864  2 Ir 2.85, 2 Sc 2.90, 2 Bi 3.06
Ir  0.2500  0.7500  0.5000  4 Bi 2.85, 4 Sc 3.15
Ir  0.5000  0.5000  0.0000  4 Bi 2.85, 4 Sc 3.15



No. 5
VASP calculation (GGA-PBEsol) on crystalline Bi2IrSe2 at its relaxed geometry.

Calculated values
E_form (uncorrected): 0.144 eV per atom

a = 6.4730 Å, b = 6.4730 Å, c = 5.8933 Å
α = 90.00°, β = 90.00°, γ = 90.00°
Last column: nearest neighbours and their distance in Å.
Atoms (fractional coordinates):
Bi  0.1954  0.3046  0.0000  2 Se 2.96, 4 Bi 3.31
Bi  0.3046  0.8046  0.0000  2 Se 2.96, 4 Bi 3.31
Bi  0.6954  0.1954  0.0000  2 Se 2.96, 4 Bi 3.31
Bi  0.8046  0.6954  0.0000  2 Se 2.96, 4 Bi 3.31
Ir  0.0000  0.0000  0.5000  4 Se 2.43
Ir  0.5000  0.5000  0.5000  4 Se 2.43
Se  0.1602  0.3398  0.5000  2 Ir 2.43
Se  0.3398  0.8398  0.5000  2 Ir 2.43
Se  0.6602  0.1602  0.5000  2 Ir 2.43
Se  0.8398  0.6602  0.5000  2 Ir 2.43



No. 6
VASP calculation (GGA-PBEsol) on crystalline BiIr2Se at its relaxed geometry.

Calculated values
E_form (uncorrected): 0.600 eV per atom

a = 4.6400 Å, b = 4.6400 Å, c = 4.6400 Å
α = 60.00°, β = 60.00°, γ = 60.00°
Last column: nearest neighbours and their distance in Å.
Atoms (fractional coordinates):
Bi  0.0000  0.0000  0.0000  8 Ir 2.84
Ir  0.2500  0.2500  0.2500  4 Se 2.84, 4 Bi 2.84
Ir  0.7500  0.7500  0.7500  4 Se 2.84, 4 Bi 2.84
Se  0.5000  0.5000  0.5000  8 Ir 2.84



No. 7
VASP calculation (GGA-PBEsol) on crystalline SrSn2BiIr at its relaxed geometry.

Calculated values
Formation energy from the elements: -0.09 eV per atom

a = 5.0177 Å, b = 5.0177 Å, c = 5.9598 Å
α = 90.00°, β = 90.00°, γ = 90.00°
Last column: nearest neighbours and their distance in Å.
Atoms (fractional coordinates):
Sr  0.0000  0.0000  0.0000  4 Bi 3.55, 8 Sn 3.90
Sn  0.0000  0.5000  0.5000  2 Ir 2.51
Sn  0.5000  0.0000  0.5000  2 Ir 2.51
Bi  0.5000  0.5000  0.0000  2 Ir 2.98
Ir  0.5000  0.5000  0.5000  4 Sn 2.51



No. 8
VASP calculation (GGA-PBEsol) on crystalline ZnSn2BiIr at its relaxed geometry.

Calculated values
Formation energy from the elements: 0.39 eV per atom

a = 5.0000 Å, b = 5.0000 Å, c = 5.5700 Å
α = 90.00°, β = 90.00°, γ = 90.00°
Last column: nearest neighbours and their distance in Å.
Atoms (fractional coordinates):
Zn  0.0000  0.0000  0.0000  4 Bi 3.54, 8 Sn 3.74
Sn  0.0000  0.5000  0.5000  2 Ir 2.50
Sn  0.5000  0.0000  0.5000  2 Ir 2.50
Bi  0.5000  0.5000  0.0000  2 Ir 2.79
Ir  0.5000  0.5000  0.5000  4 Sn 2.50, 2 Bi 2.79



No. 9
VASP calculation (GGA-PBEsol) on crystalline SrBiIr3 at its relaxed geometry.

Calculated values
Formation energy from the elements: 1.30 eV per atom

a = 4.9841 Å, b = 4.9841 Å, c = 4.9841 Å
α = 90.00°, β = 90.00°, γ = 90.00°
Last column: nearest neighbours and their distance in Å.
Atoms (fractional coordinates):
Sr  0.0000  0.0000  0.0000  12 Ir 3.52
Bi  0.5000  0.5000  0.5000  6 Ir 2.49
Ir  0.0000  0.5000  0.5000  2 Bi 2.49
Ir  0.5000  0.0000  0.5000  2 Bi 2.49
Ir  0.5000  0.5000  0.0000  2 Bi 2.49



No. 10
VASP calculation (GGA-PBEsol) on crystalline SrTlBiIr2 at its relaxed geometry.

Calculated values
Formation energy from the elements: 2.03 eV per atom

a = 4.9863 Å, b = 4.9863 Å, c = 5.8852 Å
α = 90.00°, β = 90.00°, γ = 90.00°
Last column: nearest neighbours and their distance in Å.
Atoms (fractional coordinates):
Sr  0.0000  0.0000  0.0000  4 Ir 2.49
Tl  0.5000  0.5000  0.5000  4 Bi 3.53, 8 Ir 3.86
Bi  0.0000  0.0000  0.5000  2 Sr 2.94
Ir  0.0000  0.5000  0.0000  2 Sr 2.49
Ir  0.5000  0.0000  0.0000  2 Sr 2.49



No. 11
VASP calculation (GGA-PBEsol) on crystalline TaBiIr3 at its relaxed geometry.

Calculated values
Formation energy from the elements: 1.29 eV per atom

a = 4.7688 Å, b = 4.7688 Å, c = 4.7688 Å
α = 90.00°, β = 90.00°, γ = 90.00°
Last column: nearest neighbours and their distance in Å.
Atoms (fractional coordinates):
Ta  0.0000  0.0000  0.0000  6 Ir 2.38
Bi  0.5000  0.5000  0.5000  12 Ir 3.37
Ir  0.0000  0.0000  0.5000  2 Ta 2.38
Ir  0.0000  0.5000  0.0000  2 Ta 2.38
Ir  0.5000  0.0000  0.0000  2 Ta 2.38



No. 12
VASP calculation (GGA-PBEsol) on crystalline ZrTc2BiIr at its relaxed geometry.

Calculated values
Formation energy from the elements: 1.90 eV per atom

a = 4.8463 Å, b = 4.8463 Å, c = 4.7758 Å
α = 90.00°, β = 90.00°, γ = 90.00°
Last column: nearest neighbours and their distance in Å.
Atoms (fractional coordinates):
Zr  0.0000  0.0000  0.0000  8 Tc 3.40, 4 Ir 3.43
Tc  0.0000  0.5000  0.5000  2 Bi 2.42
Tc  0.5000  0.0000  0.5000  2 Bi 2.42
Bi  0.5000  0.5000  0.5000  2 Ir 2.39, 4 Tc 2.42
Ir  0.5000  0.5000  0.0000  2 Bi 2.39



No. 13
VASP calculation (GGA-PBEsol) on crystalline BiTeIr at its relaxed geometry.

Calculated values
E_form (uncorrected): -0.246 eV per atom

a = 6.5181 Å, b = 6.5181 Å, c = 6.5181 Å
α = 90.00°, β = 90.00°, γ = 90.00°
Last column: nearest neighbours and their distance in Å.
Atoms (fractional coordinates):
Bi  0.1320  0.3680  0.6320  3 Ir 2.73, 1 Te 2.92
Bi  0.3680  0.6320  0.1320  3 Ir 2.73, 1 Te 2.92
Bi  0.6320  0.1320  0.3680  3 Ir 2.73, 1 Te 2.92
Bi  0.8680  0.8680  0.8680  3 Ir 2.73, 1 Te 2.92
Te  0.1263  0.1263  0.1263  3 Ir 2.66, 1 Bi 2.92
Te  0.3737  0.8737  0.6263  3 Ir 2.66, 1 Bi 2.92
Te  0.6263  0.3737  0.8737  3 Ir 2.66, 1 Bi 2.92
Te  0.8737  0.6263  0.3737  3 Ir 2.66, 1 Bi 2.92
Ir  0.0076  0.9924  0.4924  3 Te 2.66, 3 Bi 2.73
Ir  0.4924  0.0076  0.9924  3 Te 2.66, 3 Bi 2.73
Ir  0.5076  0.5076  0.5076  3 Te 2.66, 3 Bi 2.73
Ir  0.9924  0.4924  0.0076  3 Te 2.66, 3 Bi 2.73



Going through the records in order, we get energy values of -5.2668 -3.2433 -7.4343 -6.1512 -5.0748 -6.3452 -4.9794 -4.4527 -5.8182 -3.6524 -7.9724 -7.2482 -6.1242 eV/atom.